No. 1
## BeIn2NiGe (GGA-PBE)

Data for a geometry-optimized BeIn2NiGe structure.

Summary:
* polymorph energy (0 for the lowest one): 1.67 eV per formula unit
* D(E_F): 0.48 states/eV per atom
* crystal system: tetragonal

Unit cell a=5.3605 b=5.3605 c=4.0557 alpha=90.00 beta=90.00 gamma=90.00
Atoms (fractional coordinates):
Be  0.0000  0.0000  0.0000
In  0.0000  0.5000  0.5000
In  0.5000  0.0000  0.5000
Ni  0.5000  0.5000  0.0000
Ge  0.0000  0.0000  0.5000

No. 2
## BeIn2NiGe (GGA-PBE)

Data for a geometry-optimized BeIn2NiGe structure.

Summary:
* polymorph energy (0 for the lowest one): 0.00 eV per formula unit
* D(E_F): 0.60 states/eV per atom
* crystal system: tetragonal

Unit cell a=4.9743 b=4.9743 c=4.4449 alpha=90.00 beta=90.00 gamma=90.00
Atoms (fractional coordinates):
Be  0.0000  0.0000  0.0000
In  0.0000  0.5000  0.5000
In  0.5000  0.0000  0.5000
Ni  0.5000  0.5000  0.5000
Ge  0.5000  0.5000  0.0000

No. 3
## BeIn2GeO6 (GGA-PBE)

Data for a geometry-optimized BeIn2GeO6 structure.

Summary:
* D(E_F): 0.00 states/eV per atom
* crystal system: trigonal
* electronic total energy: -6.078 eV per atom

Unit cell a=5.8041 b=5.8041 c=5.8041 alpha=52.75 beta=52.75 gamma=52.75
Atoms (fractional coordinates):
Be  0.0000  0.0000  0.0000
In  0.2271  0.2271  0.2271
In  0.7319  0.7319  0.7319
Ge  0.4327  0.4327  0.4327
O  0.0595  0.6667  0.2848
O  0.1670  0.5132  0.7888
O  0.2848  0.0595  0.6667
O  0.5132  0.7888  0.1670
O  0.6667  0.2848  0.0595
O  0.7888  0.1670  0.5132

No. 4
## Be2In2GeRh5 (GGA-PBE)

Data for a geometry-optimized Be2In2GeRh5 structure.

Summary:
* D(E_F): 0.33 states/eV per atom
* crystal system: tetragonal
* electronic total energy: -5.933 eV per atom

Unit cell a=9.5771 b=9.5771 c=3.0592 alpha=90.00 beta=90.00 gamma=90.00
Atoms (fractional coordinates):
Be  0.1257  0.3743  0.0000
Be  0.3743  0.8743  0.0000
Be  0.6257  0.1257  0.0000
Be  0.8743  0.6257  0.0000
In  0.1720  0.6720  0.0000
In  0.3280  0.1720  0.0000
In  0.6720  0.8280  0.0000
In  0.8280  0.3280  0.0000
Ge  0.0000  0.0000  0.0000
Ge  0.5000  0.5000  0.0000
Rh  0.0000  0.5000  0.5000
Rh  0.0767  0.2015  0.5000
Rh  0.2015  0.9233  0.5000
Rh  0.2985  0.4233  0.5000
Rh  0.4233  0.7015  0.5000
Rh  0.5000  0.0000  0.5000
Rh  0.5767  0.2985  0.5000
Rh  0.7015  0.5767  0.5000
Rh  0.7985  0.0767  0.5000
Rh  0.9233  0.7985  0.5000

No. 5
## Sc2BeInGe (GGA-PBE)

Data for a geometry-optimized Sc2BeInGe structure.

Summary:
* D(E_F): 1.40 states/eV per atom
* crystal system: tetragonal
* electronic total energy: -3.702 eV per atom

Unit cell a=5.3786 b=5.3786 c=4.9868 alpha=90.00 beta=90.00 gamma=90.00
Atoms (fractional coordinates):
Sc  0.0000  0.5000  0.0000
Sc  0.5000  0.0000  0.0000
Be  0.0000  0.0000  0.5000
In  0.5000  0.5000  0.0000
Ge  0.5000  0.5000  0.5000

No. 6
## Be2TlInGe (GGA-PBE)

Data for a geometry-optimized Be2TlInGe structure.

Summary:
* D(E_F): 0.43 states/eV per atom
* crystal system: tetragonal
* electronic total energy: -2.815 eV per atom

Unit cell a=4.3055 b=4.3055 c=6.1174 alpha=90.00 beta=90.00 gamma=90.00
Atoms (fractional coordinates):
Be  0.0000  0.5000  0.0000
Be  0.5000  0.0000  0.0000
Tl  0.0000  0.0000  0.5000
In  0.5000  0.5000  0.5000
Ge  0.5000  0.5000  0.0000

- Which value of D(E_F) does entry 4 give?
  0.33 states/eV per atom

- Among the records above, which one has the lowest D(E_F)?
  BeIn2GeO6